Entry 1:
Compound: HfAl5Ni2
Source: Alexandria
Functional: GGA-PBE
Structure: relaxed

Values from the calculation:
The space-group type is No. 139. The total energy comes out at -5.574 eV/atom. The crystal system is tetragonal. The calculation puts the magnetic moment at 0.00 μB per cell. The calculation puts the density at 6.1 g cm⁻³. The formation energy comes out at -0.546 eV per atom.

abc: 7.8087 7.8087 7.8087
angles: 150.24 150.24 42.59
Last column: nearest neighbours and their distance in Å.
Fractional positions:
Hf 0.0000 0.0000 0.0000  12 Al 2.84-2.93
Al 0.6469 0.1469 0.5000  4 Ni 2.42-2.59
Al 0.3531 0.8531 0.5000  4 Ni 2.42-2.59
Al 0.1469 0.6469 0.5000  4 Ni 2.42-2.59
Al 0.8531 0.3531 0.5000  4 Ni 2.42-2.59
Al 0.5000 0.5000 0.0000  4 Hf 2.84, 8 Al 2.93
Ni 0.2405 0.2405 0.0000  8 Al 2.42-2.59
Ni 0.7595 0.7595 0.0000  8 Al 2.42-2.59

Entry 2:
Compound: V3SnC
Source: Alexandria
Functional: GGA-PBE
Structure: relaxed

Values from the calculation:
The space-group type is No. 74. The total energy comes out at -8.015 eV/atom. The crystal system is orthorhombic. The calculation puts the magnetic moment at 0.00 μB per cell. The calculation puts the density at 6.5 g cm⁻³. The formation energy comes out at 0.102 eV per atom.

abc: 5.5023 5.8469 5.8469
angles: 68.90 61.93 61.93
Last column: nearest neighbours and their distance in Å.
Fractional positions:
V 0.1505 0.8007 0.8983  2 C 2.06-2.14
V 0.1505 0.3983 0.3007  2 C 2.06-2.14
V 0.8495 0.6017 0.6993  2 C 2.06-2.14
V 0.8495 0.1993 0.1017  2 C 2.06-2.14
V 0.5000 0.0000 0.5000  2 C 2.11
V 0.0000 0.0000 0.5000  2 C 2.11
Sn 0.5000 0.5000 0.5000  10 V 2.79-3.02
Sn 0.5000 0.0000 0.0000  10 V 2.79-3.02
C 0.9520 0.7980 0.2980  6 V 2.06-2.14
C 0.0480 0.2020 0.7020  6 V 2.06-2.14